(1)
DFT (PBE-GGA) results for Pr4YMg after structural relaxation.

It has space group P4/mmm (No. 123), with a = 3.723 Å, b = 3.723 Å, c = 14.538 Å, α = 90.00°, β = 90.00° and γ = 90.00°. The inequivalent atoms are Pr at (0.000, 0.000, 0.150), Pr at (0.500, 0.500, 0.326), Y at (0.000, 0.000, 0.500) and Mg at (0.500, 0.500, 0.000).

The density of states at the Fermi level is 7.1 states/eV/f.u. Its total magnetic moment is 0.0 μB per formula unit. For the relative energy among the computed polymorphs, the calculation gives 0.0 kJ per mole of atoms. As for the total energy: -4.5533 eV per atom. Its formation energy from the elements is -0.02 eV/atom.

=====

(2)
DFT (PBE-GGA) results for YMn2CrNi after structural relaxation.

It has space group P4/mmm (No. 123), with a = 4.551 Å, b = 4.551 Å, c = 4.587 Å, α = 90.00°, β = 90.00° and γ = 90.00°. The inequivalent atoms are Y at (0.000, 0.000, 0.000), Mn at (0.000, 0.500, 0.500), Cr at (0.500, 0.500, 0.000) and Ni at (0.500, 0.500, 0.500).

The density of states at the Fermi level is 5.1 states/eV/f.u. Its total magnetic moment is 11.2 μB per formula unit. As for the total energy: -7.4847 eV per atom. Its formation energy from the elements is 0.56 eV/atom.

=====

(3)
DFT (PBE-GGA) results for MgTl2Cd after structural relaxation.

It has space group P4/mmm (No. 123), with a = 3.544 Å, b = 3.544 Å, c = 8.349 Å, α = 90.00°, β = 90.00° and γ = 90.00°. The inequivalent atoms are Mg at (0.000, 0.000, 0.000), Tl at (0.500, 0.500, 0.244) and Cd at (0.000, 0.000, 0.500).

The density of states at the Fermi level is 2.0 states/eV/f.u. Its total magnetic moment is 0.0 μB per formula unit. For the relative energy among the computed polymorphs, the calculation gives 3.5 kJ per mole of atoms. As for the total energy: -1.7805 eV per atom. Its formation energy from the elements is 0.03 eV/atom.